# MnRh

A geometry-optimized MnRh structure (PBE-GGA, the Alexandria database).

Calculated values
For the formation energy, the calculation gives 0.04 eV per atom. The crystal system is tetragonal. The symmetry is P4/nmm. The density of states at the Fermi level comes out at 1.73 states/eV per atom.

Unit cell a=2.629 b=2.629 c=7.251 alpha=90.00 beta=90.00 gamma=90.00
Sites, in units of the cell vectors:
1 Mn 0.250 0.250 0.114
2 Mn 0.750 0.750 0.886
3 Rh 0.250 0.250 0.644
4 Rh 0.750 0.750 0.356